Material: CeInH6Ru
Method: DFT, PBE
State: optimized geometry

Lattice parameters (Å, degrees): 4.7066 4.7066 4.6147 90.00 90.00 120.00
Space group P-6m2 (No. 187)
Unique sites:
1 Ce 0.0000 0.0000 0.0000 (multiplicity 1)
2 In 0.3333 0.6667 0.5000 (multiplicity 1)
3 H 0.5258 0.0516 0.2084 (multiplicity 6)
4 Ru 0.6667 0.3333 0.5000 (multiplicity 1)

DFT total energy in hartree per atom: -0.1602
Magnetization in Bohr magnetons per cell: 1.14
Crystal system: hexagonal